1.
{
  "formula": "K2TlGaSb2",
  "functional": "PBE",
  "state": "optimized geometry",
  "lattice": [[-3.775, 7.720, 3.660], [3.775, -7.720, 3.660], [3.775, 7.720, -3.660]],
  "species": ["K", "K", "K", "K", "Tl", "Tl", "Ga", "Ga", "Sb", "Sb", "Sb", "Sb"],
  "frac_coords": [[0.166, 0.247, 0.414], [0.334, 0.747, 0.081], [0.666, 0.253, 0.919], [0.834, 0.753, 0.586], [0.250, 0.250, 0.000], [0.750, 0.750, 0.000], [0.250, 0.750, 0.500], [0.750, 0.250, 0.500], [0.097, 0.709, 0.806], [0.403, 0.209, 0.612], [0.597, 0.791, 0.388], [0.903, 0.291, 0.194]],
  "magmom_total_mub_per_cell": 0.000,
  "formation_energy_uncorrected_mev_per_atom": -320,
  "space_group": "Ibam (72)"
}


2.
{
  "formula": "LaC3I",
  "functional": "PBE",
  "state": "optimized geometry",
  "lattice": [[4.708, 0.000, 0.000], [0.000, 4.708, 0.000], [0.000, 0.000, 4.708]],
  "species": ["La", "C", "C", "C", "I"],
  "frac_coords": [[0.000, 0.000, 0.000], [0.000, 0.000, 0.500], [0.000, 0.500, 0.000], [0.500, 0.000, 0.000], [0.500, 0.500, 0.500]],
  "magmom_total_mub_per_cell": 0.000,
  "formation_energy_uncorrected_mev_per_atom": 2907,
  "e_above_lowest_polymorph_ev_per_fu": 3.883,
  "space_group": "Pm-3m (221)"
}


3.
{
  "formula": "GdIn2Si",
  "functional": "PBE",
  "state": "optimized geometry",
  "lattice": [[4.329, 0.000, 0.000], [0.000, 4.329, 0.000], [0.000, 0.000, 4.892]],
  "species": ["Gd", "In", "In", "Si"],
  "frac_coords": [[0.000, 0.000, 0.000], [0.000, 0.500, 0.500], [0.500, 0.000, 0.500], [0.500, 0.500, 0.000]],
  "magmom_total_mub_per_cell": 6.921,
  "formation_energy_uncorrected_mev_per_atom": -319,
  "space_group": "P4/mmm (123)"
}


4.
{
  "formula": "Pr6SnSb2Se3",
  "functional": "PBE",
  "state": "optimized geometry",
  "lattice": [[9.633, -2.218, 0.000], [9.633, 2.218, 0.000], [-1.966, 0.000, 8.608]],
  "species": ["Pr", "Pr", "Pr", "Pr", "Pr", "Pr", "Sn", "Sb", "Sb", "Se", "Se", "Se"],
  "frac_coords": [[0.002, 0.002, 0.247], [0.333, 0.333, 0.423], [0.335, 0.335, 0.912], [0.665, 0.665, 0.088], [0.667, 0.667, 0.577], [0.998, 0.998, 0.753], [0.500, 0.500, 0.500], [0.167, 0.167, 0.833], [0.833, 0.833, 0.167], [0.167, 0.167, 0.333], [0.500, 0.500, 0.000], [0.833, 0.833, 0.667]],
  "magmom_total_mub_per_cell": 0.000,
  "formation_energy_uncorrected_mev_per_atom": -1450,
  "space_group": "C2/m (12)"
}